The following is a DFT calculation (PBE) of an optimized crystal structure of SmZnGa.

Unit cell a=4.4804 b=4.4804 c=7.3507 alpha=90.00 beta=90.00 gamma=120.00
Space group P6_3mc (No. 186)
Inequivalent atoms, fractional coordinates:
Sm 0.0000 0.0000 0.0000 (multiplicity 2)
Zn 0.3333 0.6667 0.2834 (multiplicity 2)
Ga 0.3333 0.6667 0.7192 (multiplicity 2)


The following is a DFT calculation (PBE) of an optimized crystal structure of SmZnGa.

Unit cell a=4.4365 b=4.4365 c=7.5295 alpha=90.00 beta=90.00 gamma=120.00
Space group P6_3/mmc (No. 194)
Inequivalent atoms, fractional coordinates:
Sm 0.0000 0.0000 0.0000 (multiplicity 2)
Zn 0.3333 0.6667 0.2500 (multiplicity 2)
Ga 0.3333 0.6667 0.7500 (multiplicity 2)


The following is a DFT calculation (PBE) of an optimized crystal structure of SmZn2Ga2.

Unit cell a=4.1709 b=4.1709 c=10.8047 alpha=90.00 beta=90.00 gamma=90.00
Space group I4/mmm (No. 139)
Inequivalent atoms, fractional coordinates:
Sm 0.0000 0.0000 0.0000 (multiplicity 2)
Zn 0.0000 0.0000 0.3889 (multiplicity 4)
Ga 0.0000 0.5000 0.2500 (multiplicity 4)


The following is a DFT calculation (PBE) of an optimized crystal structure of SmZnGa.

Unit cell a=6.4743 b=6.4743 c=6.4743 alpha=90.00 beta=90.00 gamma=90.00
Space group F-43m (No. 216)
Inequivalent atoms, fractional coordinates:
Sm 0.0000 0.0000 0.0000 (multiplicity 4)
Zn 0.2500 0.2500 0.7500 (multiplicity 4)
Ga 0.0000 0.0000 0.5000 (multiplicity 4)


The following is a DFT calculation (PBE) of an optimized crystal structure of SmZnGa.

Unit cell a=4.9473 b=4.9473 c=6.1064 alpha=90.00 beta=90.00 gamma=120.00
Space group P6_3/mmc (No. 194)
Inequivalent atoms, fractional coordinates:
Sm 0.3333 0.6667 0.2500 (multiplicity 2)
Zn 0.0000 0.0000 0.0000 (multiplicity 2)
Ga 0.3333 0.6667 0.7500 (multiplicity 2)


The following is a DFT calculation (PBE) of an optimized crystal structure of SrZn2GaSn.

Unit cell a=4.4347 b=4.4347 c=11.4704 alpha=90.00 beta=90.00 gamma=90.00
Space group I4mm (No. 107)
Inequivalent atoms, fractional coordinates:
Sr 0.0000 0.0000 0.0000 (multiplicity 2)
Zn 0.0000 0.5000 0.2329 (multiplicity 4)
Ga 0.0000 0.0000 0.6151 (multiplicity 2)
Sn 0.0000 0.0000 0.3768 (multiplicity 2)


The following is a DFT calculation (PBE) of an optimized crystal structure of TaGaSn.

Unit cell a=6.3840 b=6.3840 c=6.3840 alpha=90.00 beta=90.00 gamma=90.00
Space group F-43m (No. 216)
Inequivalent atoms, fractional coordinates:
Ta 0.0000 0.0000 0.0000 (multiplicity 4)
Ga 0.2500 0.2500 0.7500 (multiplicity 4)
Sn 0.0000 0.0000 0.5000 (multiplicity 4)

Properties
- E above lowest polymorph (eV/atom) = 0.176


The following is a DFT calculation (PBE) of an optimized crystal structure of TaGaSn.

Unit cell a=6.5269 b=6.5269 c=6.5269 alpha=90.00 beta=90.00 gamma=90.00
Space group F-43m (No. 216)
Inequivalent atoms, fractional coordinates:
Ta 0.0000 0.0000 0.0000 (multiplicity 4)
Ga 0.2500 0.2500 0.7500 (multiplicity 4)
Sn 0.2500 0.2500 0.2500 (multiplicity 4)

Properties
- E above lowest polymorph (eV/atom) = 0.000


Total DFT energy (no corrections) list, top to bottom, in Ry/atom: -0.2633 -0.2618 -0.2284 -0.2516 -0.2505 -0.1919 -0.4096 -0.4225